# CsPmCrO4 (GGA+U, relaxed)
data_CsPmCrO4
_chemical_formula_sum 'Cs2 Pm2 Cr2 O8'
_cell_length_a 5.996
_cell_length_b 6.043
_cell_length_c 8.118
_cell_angle_alpha 90.00
_cell_angle_beta 108.27
_cell_angle_gamma 90.00
_symmetry_space_group_name_H-M 'P 1'
_symmetry_Int_Tables_number 1
_symmetry_space_group_name_Hall 'P 1'
loop_
_atom_site_label
_atom_site_type_symbol
_atom_site_fract_x
_atom_site_fract_y
_atom_site_fract_z
_atom_site_occupancy
Cs1 Cs 0.200 0.250 0.431 1
Cs2 Cs 0.800 0.750 0.569 1
Pm1 Pm 0.300 0.250 0.959 1
Pm2 Pm 0.700 0.750 0.041 1
Cr1 Cr 0.242 0.750 0.154 1
Cr2 Cr 0.758 0.250 0.846 1
O1 O 0.041 0.750 0.942 1
O2 O 0.055 0.750 0.286 1
O3 O 0.454 0.525 0.166 1
O4 O 0.454 0.975 0.166 1
O5 O 0.546 0.025 0.834 1
O6 O 0.546 0.475 0.834 1
O7 O 0.945 0.250 0.714 1
O8 O 0.959 0.250 0.058 1
# - spin magnetization (μB per atom) = 0.286
# - space group = No. 11
# - VASP energy (eV per atom) = -6.96